Entry 1:
Below is a geometry-optimized YAg2Sn3Se6 structure, with properties calculated at the PBE level.

Cell and atoms, written as CIF:
```
data_YAg2Sn3Se6
_space_group_name_H-M_alt 'P 1'
_space_group_IT_number 1
_cell_length_a 7.1763
_cell_length_b 7.1763
_cell_length_c 7.2659
_cell_angle_alpha 99.38
_cell_angle_beta 99.38
_cell_angle_gamma 120.14
loop_
_space_group_symop_operation_xyz
'x,y,z'
loop_
_atom_site_label
_atom_site_fract_x
_atom_site_fract_y
_atom_site_fract_z
Y1 0.0000 0.0000 0.0000
Ag1 0.3291 0.6709 0.0000
Ag2 0.6709 0.3291 0.0000
Sn1 0.1618 0.8382 0.5000
Sn2 0.5000 0.5000 0.5000
Sn3 0.8382 0.1618 0.5000
Se1 0.0813 0.4092 0.2381
Se2 0.2480 0.2480 0.7563
Se3 0.4092 0.0813 0.2381
Se4 0.5908 0.9187 0.7619
Se5 0.7520 0.7520 0.2437
Se6 0.9187 0.5908 0.7619
```

Properties
* size of the total moment: 0.00 μB/f.u.
* uncorrected formation energy: -0.6070 eV per atom
* space-group type: C2/m, No. 12

***

Entry 2:
Below is a geometry-optimized SrPr2Tm structure, with properties calculated at the PBE level.

Cell and atoms, written as CIF:
```
data_SrPr2Tm
_space_group_name_H-M_alt 'P 1'
_space_group_IT_number 1
_cell_length_a 5.3227
_cell_length_b 5.3227
_cell_length_c 5.2499
_cell_angle_alpha 90.00
_cell_angle_beta 90.00
_cell_angle_gamma 90.00
loop_
_space_group_symop_operation_xyz
'x,y,z'
loop_
_atom_site_label
_atom_site_fract_x
_atom_site_fract_y
_atom_site_fract_z
Sr1 0.0000 0.0000 0.0000
Pr1 0.0000 0.5000 0.5000
Pr2 0.5000 0.0000 0.5000
Tm1 0.5000 0.5000 0.0000
```

Properties
* excess energy over the best structure of this formula in the dataset: 70.3 meV per atom
* energy relative to the elements: 165 meV/atom
* size of the total moment: 0.00 μB/f.u.
* space-group type: P4/mmm, No. 123

***

Entry 3:
Below is a geometry-optimized MgZr2CoGe structure, with properties calculated at the PBE level.

Cell and atoms, written as CIF:
```
data_MgZr2CoGe
_space_group_name_H-M_alt 'P 1'
_space_group_IT_number 1
_cell_length_a 4.8410
_cell_length_b 4.8410
_cell_length_c 4.4708
_cell_angle_alpha 90.00
_cell_angle_beta 90.00
_cell_angle_gamma 90.00
loop_
_space_group_symop_operation_xyz
'x,y,z'
loop_
_atom_site_label
_atom_site_fract_x
_atom_site_fract_y
_atom_site_fract_z
Mg1 0.0000 0.0000 0.0000
Zr1 0.0000 0.5000 0.5000
Zr2 0.5000 0.0000 0.5000
Co1 0.5000 0.5000 0.5000
Ge1 0.5000 0.5000 0.0000
```

Properties
* energy relative to the elements: 24 meV/atom
* size of the total moment: 0.00 μB/f.u.
* space-group type: P4/mmm, No. 123

***

Look up the size of the total moment of the first one. 0.00 μB/f.u.

***

Please write out number 3 again, unchanged.
Below is a geometry-optimized MgZr2CoGe structure, with properties calculated at the PBE level.

Cell and atoms, written as CIF:
```
data_MgZr2CoGe
_space_group_name_H-M_alt 'P 1'
_space_group_IT_number 1
_cell_length_a 4.8410
_cell_length_b 4.8410
_cell_length_c 4.4708
_cell_angle_alpha 90.00
_cell_angle_beta 90.00
_cell_angle_gamma 90.00
loop_
_space_group_symop_operation_xyz
'x,y,z'
loop_
_atom_site_label
_atom_site_fract_x
_atom_site_fract_y
_atom_site_fract_z
Mg1 0.0000 0.0000 0.0000
Zr1 0.0000 0.5000 0.5000
Zr2 0.5000 0.0000 0.5000
Co1 0.5000 0.5000 0.5000
Ge1 0.5000 0.5000 0.0000
```

Properties
* energy relative to the elements: 24 meV/atom
* size of the total moment: 0.00 μB/f.u.
* space-group type: P4/mmm, No. 123

***

What is the formula in the first record? YAg2Sn3Se6